Record 1
VASP calculation (meta-GGA SCAN) on a PBEsol-optimized structure of In3Au7.

Cell and atoms, written as CIF:
```
data_In3Au7
_chemical_formula_sum 'In18 Au42'
_cell_length_a 12.1647
_cell_length_b 12.1647
_cell_length_c 8.6165
_cell_angle_alpha 90.00
_cell_angle_beta 90.00
_cell_angle_gamma 120.00
_symmetry_space_group_name_H-M 'P -3'
_symmetry_Int_Tables_number 147
loop_
_symmetry_equiv_pos_as_xyz
'x,y,z'
'-x,-y,-z'
'-y,x-y,z'
'y,-x+y,-z'
'-x+y,-x,z'
'x-y,x,-z'
loop_
_atom_site_label
_atom_site_type_symbol
_atom_site_fract_x
_atom_site_fract_y
_atom_site_fract_z
In1 In 0.0231 0.1876 0.2487
In2 In 0.1402 0.4982 0.0393
In3 In 0.1677 0.6959 0.5379
Au1 Au 0.0000 0.0000 0.0000
Au2 Au 0.0000 0.0000 0.5000
Au3 Au 0.0131 0.2335 0.5735
Au4 Au 0.0373 0.2432 0.9164
Au5 Au 0.0849 0.4444 0.3635
Au6 Au 0.1088 0.4736 0.7036
Au7 Au 0.1098 0.6891 0.8729
Au8 Au 0.1391 0.7003 0.2083
Au9 Au 0.3333 0.6667 0.3272
Au10 Au 0.3333 0.6667 0.8307
```

Values from the calculation:
The density of states at the Fermi level is 2.65 states/eV/f.u. As for the calculated formation energy: -0.1717 eV per atom. The calculation puts the final energy at -3515.85 eV for the cell shown.



Record 2
VASP calculation (meta-GGA SCAN) on a PBEsol-optimized structure of BaFeSnOs2.

Cell and atoms, written as CIF:
```
data_BaFeSnOs2
_chemical_formula_sum 'Ba1 Fe1 Sn1 Os2'
_cell_length_a 4.5467
_cell_length_b 4.5467
_cell_length_c 5.1792
_cell_angle_alpha 90.00
_cell_angle_beta 90.00
_cell_angle_gamma 90.00
_symmetry_space_group_name_H-M 'P 4/m m m'
_symmetry_Int_Tables_number 123
_symmetry_space_group_name_Hall '-P 4 2'
loop_
_atom_site_label
_atom_site_type_symbol
_atom_site_fract_x
_atom_site_fract_y
_atom_site_fract_z
Ba1 Ba 0.0000 0.0000 0.0000
Fe1 Fe 0.0000 0.0000 0.5000
Sn1 Sn 0.5000 0.5000 0.0000
Os1 Os 0.0000 0.5000 0.5000
```

Values from the calculation:
The density of states at the Fermi level is 5.43 states/eV/f.u. As for the calculated formation energy: 1.4575 eV per atom. The calculation puts the final energy at -230.07 eV for the cell shown.



Record 3
VASP calculation (meta-GGA SCAN) on a PBEsol-optimized structure of MgScHg2.

Cell and atoms, written as CIF:
```
data_MgScHg2
_chemical_formula_sum 'Mg2 Sc2 Hg4'
_cell_length_a 10.4662
_cell_length_b 3.3514
_cell_length_c 4.9882
_cell_angle_alpha 90.00
_cell_angle_beta 105.51
_cell_angle_gamma 90.00
_symmetry_space_group_name_H-M 'C 1 m 1'
_symmetry_Int_Tables_number 8
loop_
_symmetry_equiv_pos_as_xyz
'x,y,z'
'x,-y,z'
'x+1/2,y+1/2,z'
'x+1/2,-y+1/2,z'
loop_
_atom_site_label
_atom_site_type_symbol
_atom_site_fract_x
_atom_site_fract_y
_atom_site_fract_z
Mg1 Mg 0.0000 0.0000 0.0000
Sc1 Sc 0.2703 0.5000 0.3563
Hg1 Hg 0.0120 0.5000 0.5049
Hg2 Hg 0.2523 0.0000 0.8579
```

Values from the calculation:
The density of states at the Fermi level is 1.84 states/eV/f.u. As for the calculated formation energy: -0.4165 eV per atom. The calculation puts the final energy at -314.42 eV for the cell shown.



Record 4
VASP calculation (meta-GGA SCAN) on a PBEsol-optimized structure of PdC3S.

Cell and atoms, written as CIF:
```
data_PdC3S
_chemical_formula_sum 'Pd1 C3 S1'
_cell_length_a 3.5792
_cell_length_b 3.5792
_cell_length_c 3.5792
_cell_angle_alpha 90.00
_cell_angle_beta 90.00
_cell_angle_gamma 90.00
_symmetry_space_group_name_H-M 'P m -3 m'
_symmetry_Int_Tables_number 221
_symmetry_space_group_name_Hall '-P 4 2 3'
loop_
_atom_site_label
_atom_site_type_symbol
_atom_site_fract_x
_atom_site_fract_y
_atom_site_fract_z
Pd1 Pd 0.0000 0.0000 0.0000
C1 C 0.0000 0.5000 0.5000
S1 S 0.5000 0.5000 0.5000
```

Values from the calculation:
Its uncorrected formation energy is 2.45 eV per atom. The density of states at the Fermi level is 1.71 states/eV/f.u. The calculation puts the final energy at -60.43 eV for the cell shown.



Record 5
VASP calculation (meta-GGA SCAN) on a PBEsol-optimized structure of TaRu.

Cell and atoms, written as CIF:
```
data_TaRu
_chemical_formula_sum 'Ta1 Ru1'
_cell_length_a 3.1381
_cell_length_b 3.1381
_cell_length_c 3.1381
_cell_angle_alpha 90.00
_cell_angle_beta 90.00
_cell_angle_gamma 90.00
_symmetry_space_group_name_H-M 'P m -3 m'
_symmetry_Int_Tables_number 221
_symmetry_space_group_name_Hall '-P 4 2 3'
loop_
_atom_site_label
_atom_site_type_symbol
_atom_site_fract_x
_atom_site_fract_y
_atom_site_fract_z
Ta1 Ta 0.0000 0.0000 0.0000
Ru1 Ru 0.5000 0.5000 0.5000
```

Values from the calculation:
The density of states at the Fermi level is 2.21 states/eV/f.u. As for the calculated formation energy: -0.3509 eV per atom. The calculation puts the final energy at -102.11 eV for the cell shown.



Record 6
VASP calculation (meta-GGA SCAN) on a PBEsol-optimized structure of InReAs.

Cell and atoms, written as CIF:
```
data_InReAs
_chemical_formula_sum 'In4 Re4 As4'
_cell_length_a 6.1762
_cell_length_b 6.1762
_cell_length_c 6.1762
_cell_angle_alpha 90.00
_cell_angle_beta 90.00
_cell_angle_gamma 90.00
_symmetry_space_group_name_H-M 'F -4 3 m'
_symmetry_Int_Tables_number 216
_symmetry_space_group_name_Hall 'F -4 2 3'
loop_
_atom_site_label
_atom_site_type_symbol
_atom_site_fract_x
_atom_site_fract_y
_atom_site_fract_z
In1 In 0.0000 0.0000 0.0000
Re1 Re 0.2500 0.2500 0.2500
As1 As 0.0000 0.0000 0.5000
```

Values from the calculation:
The density of states at the Fermi level is 2.54 states/eV/f.u. As for the calculated formation energy: 0.6977 eV per atom. The energy relative to the lowest polymorph listed for this composition comes out at 0.000 eV/atom. The calculation puts the final energy at -490.33 eV for the cell shown.



Record 7
VASP calculation (meta-GGA SCAN) on a PBEsol-optimized structure of Cr5Mo11.

Cell and atoms, written as CIF:
```
data_Cr5Mo11
_chemical_formula_sum 'Cr5 Mo11'
_cell_length_a 6.0807
_cell_length_b 6.0854
_cell_length_c 6.0914
_cell_angle_alpha 90.00
_cell_angle_beta 90.18
_cell_angle_gamma 90.00
_symmetry_space_group_name_H-M 'P 1 m 1'
_symmetry_Int_Tables_number 6
loop_
_symmetry_equiv_pos_as_xyz
'x,y,z'
'x,-y,z'
loop_
_atom_site_label
_atom_site_type_symbol
_atom_site_fract_x
_atom_site_fract_y
_atom_site_fract_z
Cr1 Cr 0.0000 0.0000 0.0000
Cr2 Cr 0.0001 0.0000 0.4888
Cr3 Cr 0.5062 0.5000 0.4915
Cr4 Cr 0.7553 0.2468 0.2452
Mo1 Mo 0.2498 0.2474 0.2460
Mo2 Mo 0.2512 0.2476 0.7416
Mo3 Mo 0.5082 0.5000 0.0014
Mo4 Mo 0.5099 0.0000 0.4891
Mo5 Mo 0.5102 0.0000 0.9986
Mo6 Mo 0.7557 0.2478 0.7407
Mo7 Mo 0.9966 0.5000 0.4890
Mo8 Mo 0.9990 0.5000 0.9981
```

Values from the calculation:
The density of states at the Fermi level is 10.55 states/eV/f.u. As for the calculated formation energy: 0.0925 eV per atom. The calculation puts the final energy at -474.18 eV for the cell shown.



Record 8
VASP calculation (meta-GGA SCAN) on a PBEsol-optimized structure of BaLi2Mg.

Cell and atoms, written as CIF:
```
data_BaLi2Mg
_chemical_formula_sum 'Ba3 Li6 Mg3'
_cell_length_a 5.0487
_cell_length_b 5.0487
_cell_length_c 17.7200
_cell_angle_alpha 90.00
_cell_angle_beta 90.00
_cell_angle_gamma 120.00
_symmetry_space_group_name_H-M 'R 3 m'
_symmetry_Int_Tables_number 160
_symmetry_space_group_name_Hall 'R 3 -2"'
loop_
_atom_site_label
_atom_site_type_symbol
_atom_site_fract_x
_atom_site_fract_y
_atom_site_fract_z
Ba1 Ba 0.0000 0.0000 0.0000
Li1 Li 0.0000 0.0000 0.1979
Li2 Li 0.0000 0.0000 0.5016
Mg1 Mg 0.0000 0.0000 0.7980
```

Values from the calculation:
The density of states at the Fermi level is 2.92 states/eV/f.u. As for the calculated formation energy: 0.0312 eV per atom. The calculation puts the final energy at -147.54 eV for the cell shown.



Record 9
VASP calculation (meta-GGA SCAN) on a PBEsol-optimized structure of HgSbRh2.

Cell and atoms, written as CIF:
```
data_HgSbRh2
_chemical_formula_sum 'Hg1 Sb1 Rh2'
_cell_length_a 3.1207
_cell_length_b 3.1207
_cell_length_c 6.9018
_cell_angle_alpha 90.00
_cell_angle_beta 90.00
_cell_angle_gamma 90.00
_symmetry_space_group_name_H-M 'P 4/m m m'
_symmetry_Int_Tables_number 123
_symmetry_space_group_name_Hall '-P 4 2'
loop_
_atom_site_label
_atom_site_type_symbol
_atom_site_fract_x
_atom_site_fract_y
_atom_site_fract_z
Hg1 Hg 0.0000 0.0000 0.0000
Sb1 Sb 0.0000 0.0000 0.5000
Rh1 Rh 0.5000 0.5000 0.2751
```

Values from the calculation:
Its uncorrected formation energy is -0.10 eV per atom. The density of states at the Fermi level is 1.90 states/eV/f.u. The energy relative to the lowest polymorph listed for this composition comes out at 0.003 eV/atom. The calculation puts the final energy at -173.38 eV for the cell shown.



Record 10
VASP calculation (meta-GGA SCAN) on a PBEsol-optimized structure of GaAuC3.

Cell and atoms, written as CIF:
```
data_GaAuC3
_chemical_formula_sum 'Ga1 Au1 C3'
_cell_length_a 4.0912
_cell_length_b 4.0912
_cell_length_c 4.0912
_cell_angle_alpha 90.00
_cell_angle_beta 90.00
_cell_angle_gamma 90.00
_symmetry_space_group_name_H-M 'P m -3 m'
_symmetry_Int_Tables_number 221
_symmetry_space_group_name_Hall '-P 4 2 3'
loop_
_atom_site_label
_atom_site_type_symbol
_atom_site_fract_x
_atom_site_fract_y
_atom_site_fract_z
Ga1 Ga 0.0000 0.0000 0.0000
Au1 Au 0.5000 0.5000 0.5000
C1 C 0.0000 0.5000 0.5000
```

Values from the calculation:
The density of states at the Fermi level is 4.61 states/eV/f.u. As for the calculated formation energy: 3.0833 eV per atom. The calculation puts the final energy at -100.39 eV for the cell shown.